First-principles (GGA-PBEsol) data for Ba2H8PtO8 after structural relaxation, as listed in the Alexandria database.

Values from the calculation:
E = -5.61 eV per atom

Unit cell a=8.5082 b=10.2304 c=8.6560 alpha=90.00 beta=90.00 gamma=90.00
Space group Pbca (No. 61)
One atom of each set of equivalent atoms:
Ba  0.2243  0.2256  0.2140
H  0.0134  0.7436  0.9951
H  0.0318  0.5882  0.5360
H  0.0399  0.0147  0.7854
H  0.2091  0.0120  0.9683
Pt  0.0000  0.0000  0.5000
O  0.0214  0.5642  0.2183
O  0.0673  0.1276  0.9287
O  0.0728  0.6773  0.9304
O  0.2243  0.0656  0.4990

First-principles (GGA-PBEsol) data for BeFe2Co after structural relaxation, as listed in the Alexandria database.

Values from the calculation:
E = -7.46 eV per atom

Unit cell a=2.7374 b=3.8602 c=7.5361 alpha=90.00 beta=90.00 gamma=90.00
Space group Imm2 (No. 44)
One atom of each set of equivalent atoms:
Be  0.0000  0.0000  0.0000
Fe  0.0000  0.0000  0.4955
Fe  0.0000  0.5000  0.2500
Co  0.0000  0.5000  0.7411

First-principles (GGA-PBEsol) data for BeAlCdTe2 after structural relaxation, as listed in the Alexandria database.

Values from the calculation:
uncorrected formation energy = 1.6 eV per formula unit

Unit cell a=5.1289 b=5.1289 c=4.4023 alpha=90.00 beta=90.00 gamma=90.00
Space group P4/mmm (No. 123)
One atom of each set of equivalent atoms:
Be  0.0000  0.0000  0.0000
Al  0.0000  0.0000  0.5000
Cd  0.5000  0.5000  0.5000
Te  0.0000  0.5000  0.0000

First-principles (GGA-PBEsol) data for Rb3NbH4C6O15 after structural relaxation, as listed in the Alexandria database.

Values from the calculation:
E = -7.10 eV per atom

Unit cell a=7.8831 b=9.0105 c=11.3605 alpha=79.40 beta=88.32 gamma=87.32
Space group P-1 (No. 2)
One atom of each set of equivalent atoms:
Rb  0.0187  0.2576  0.3629
Rb  0.1422  0.3250  0.9346
Rb  0.3747  0.0305  0.6462
Nb  0.3251  0.6300  0.1700
H  0.0315  0.0523  0.1354
H  0.1770  0.4088  0.5935
H  0.2280  0.0864  0.1484
H  0.2647  0.5032  0.4833
C  0.0633  0.7461  0.3350
C  0.2279  0.8214  0.3599
C  0.2598  0.8991  0.9701
C  0.4170  0.6196  0.7477
C  0.4366  0.3504  0.3445
C  0.4496  0.8558  0.9599
O  0.0741  0.2286  0.6139
O  0.0823  0.6549  0.2604
O  0.1096  0.1196  0.1648
O  0.1879  0.8215  0.0636
O  0.1898  0.9990  0.8952
O  0.2179  0.5124  0.0920
O  0.2204  0.5109  0.5642
O  0.2294  0.9035  0.4358
O  0.2988  0.7121  0.7542
O  0.3248  0.4633  0.3345
O  0.3553  0.7848  0.2950
O  0.4258  0.2311  0.4166
O  0.4370  0.4890  0.8182
O  0.4567  0.0769  0.1195
O  0.4977  0.7447  0.0433

First-principles (GGA-PBEsol) data for Li2CaZr after structural relaxation, as listed in the Alexandria database.

Values from the calculation:
energy relative to the lowest polymorph listed for this composition = 0.000 eV/atom

Unit cell a=3.0953 b=3.0953 c=9.7407 alpha=90.00 beta=90.00 gamma=90.00
Space group P4/mmm (No. 123)
One atom of each set of equivalent atoms:
Li  0.0000  0.0000  0.2312
Ca  0.5000  0.5000  0.5000
Zr  0.5000  0.5000  0.0000

First-principles (GGA-PBEsol) data for BaYRe2 after structural relaxation, as listed in the Alexandria database.

Values from the calculation:
E = -7.54 eV per atom

Unit cell a=7.0038 b=7.0038 c=7.0038 alpha=90.00 beta=90.00 gamma=90.00
Space group Fm-3m (No. 225)
One atom of each set of equivalent atoms:
Ba  0.0000  0.0000  0.0000
Y  0.0000  0.0000  0.5000
Re  0.2500  0.2500  0.2500

First-principles (GGA-PBEsol) data for Ti3AuC after structural relaxation, as listed in the Alexandria database.

Values from the calculation:
E = -8.37 eV per atom

Unit cell a=4.1366 b=4.1366 c=4.1366 alpha=90.00 beta=90.00 gamma=90.00
Space group Pm-3m (No. 221)
One atom of each set of equivalent atoms:
Ti  0.0000  0.0000  0.5000
Au  0.5000  0.5000  0.5000
C  0.0000  0.0000  0.0000

First-principles (GGA-PBEsol) data for BaLiAsSe2 after structural relaxation, as listed in the Alexandria database.

Values from the calculation:
uncorrected formation energy = -3.4 eV per formula unit

Unit cell a=5.0139 b=5.0139 c=4.5921 alpha=90.00 beta=90.00 gamma=90.00
Space group P4/mmm (No. 123)
One atom of each set of equivalent atoms:
Ba  0.0000  0.0000  0.0000
Li  0.5000  0.5000  0.5000
As  0.5000  0.5000  0.0000
Se  0.0000  0.5000  0.5000